Record 1
This record from Alexandria describes an optimized crystal structure of Sr2Y. The functional is PBE.

a b c (Å): 10.987 10.987 3.835
angles (deg): 90.00 90.00 120.00
Atoms (fractional coordinates):
Sr: 0.000 0.307 0.000
Sr: 0.000 0.640 0.500
Sr: 0.307 0.000 0.000
Sr: 0.360 0.360 0.500
Sr: 0.640 0.000 0.500
Sr: 0.693 0.693 0.000
Y: 0.000 0.000 0.500
Y: 0.333 0.667 0.000
Y: 0.667 0.333 0.000

Output
- space-group type = P-62m
- DFT formation energy (eV per atom) = 0.238
- N(E_F) (states/eV/cell) = 16.4



Record 2
This record from Alexandria describes an optimized crystal structure of TlGaW2. The functional is PBE.

a b c (Å): 4.598 4.598 4.598
angles (deg): 60.00 60.00 60.00
Atoms (fractional coordinates):
Tl: 0.000 0.000 0.000
Ga: 0.500 0.500 0.500
W: 0.250 0.250 0.250
W: 0.750 0.750 0.750

Output
- space-group type = Fm-3m
- DFT formation energy (eV per atom) = 0.997
- N(E_F) (states/eV/cell) = 3.2



Record 3
This record from Alexandria describes an optimized crystal structure of GaSb2Te6. The functional is PBE.

a b c (Å): 6.890 6.890 13.339
angles (deg): 90.00 90.00 90.00
Atoms (fractional coordinates):
Ga: 0.000 0.000 0.000
Ga: 0.500 0.500 0.500
Sb: 0.000 0.000 0.335
Sb: 0.000 0.000 0.665
Sb: 0.500 0.500 0.165
Sb: 0.500 0.500 0.835
Te: 0.191 0.191 0.157
Te: 0.191 0.191 0.843
Te: 0.209 0.209 0.500
Te: 0.291 0.709 0.000
Te: 0.309 0.691 0.343
Te: 0.309 0.691 0.657
Te: 0.691 0.309 0.343
Te: 0.691 0.309 0.657
Te: 0.709 0.291 0.000
Te: 0.791 0.791 0.500
Te: 0.809 0.809 0.157
Te: 0.809 0.809 0.843

Output
- space-group type = P4_2/mnm
- formation energy (no corrections) (eV per atom) = 0.15
- N(E_F) (states/eV/cell) = 20.3



| no. | total magnetization (μB per formula unit) | DFT total energy (eV/cell) |
| --- | --- | --- |
| 1 | 0.1 | -27.3 |
| 2 | 0.0 | -27.3 |
| 3 | 0.0 | -57.5 |